First-principles (PBE) data for crystalline Ac3Zn5Pd6 at its relaxed geometry, as listed in Alexandria via LeMat-Bulk.

The structure belongs to space group Pmmn (No. 59, origin choice 2); the cell edges are 4.5013, 13.3930 and 9.5013 Å and the angles 90.00°, 90.00° and 90.00°. Symmetry generates all atoms from Ac at (0.2500, 0.0508, 0.2478), Ac at (0.2500, 0.7500, 0.2663), Zn at (0.2500, 0.0829, 0.5929), Zn at (0.2500, 0.6261, 0.9776), Zn at (0.2500, 0.7500, 0.7526), Pd at (0.2500, 0.0808, 0.8798), Pd at (0.2500, 0.2500, 0.0643), Pd at (0.2500, 0.2500, 0.4264) and Pd at (0.2500, 0.6234, 0.5372).

For the spin magnetization, the calculation gives 0.000 μB/atom. The calculation puts the density of states at the Fermi level at 0.48 states/eV per atom. As for the formation energy: -0.632 eV per atom.

First-principles (PBE) data for crystalline AcZn4Pd3 at its relaxed geometry, as listed in Alexandria via LeMat-Bulk.

The structure belongs to space group P4/mmm (No. 123); the cell edges are 4.2332, 4.2332 and 8.7595 Å and the angles 90.00°, 90.00° and 90.00°. Symmetry generates all atoms from Ac at (0.0000, 0.0000, 0.0000), Zn at (0.0000, 0.5000, 0.3330), Pd at (0.0000, 0.0000, 0.5000) and Pd at (0.5000, 0.5000, 0.1571).

For the spin magnetization, the calculation gives 0.000 μB/atom. The calculation puts the density of states at the Fermi level at 0.42 states/eV per atom. As for the formation energy: -0.497 eV per atom.